(1)
! TaV2H6 | the Alexandria database | PBE | relaxed; values from VASP
! **Mass density**: 7.933 Mg/m³
! **Final energy**: -5.778 eV per atom
! **Space group**: No. 71
&SYSTEM
  ibrav = 0, nat = 9, ntyp = 3
/
ATOMIC_SPECIES
H 1.01 H.upf
V 50.94 V.upf
Ta 180.95 Ta.upf
CELL_PARAMETERS angstrom
3.044 -0.002 -0.117
-0.002 4.346 0.000
-1.346 -2.173 4.622
ATOMIC_POSITIONS crystal
H 0.500 0.728 0.000
H 0.828 0.568 0.656
H 0.828 0.088 0.656
H 0.172 0.912 0.344
H 0.172 0.432 0.344
H 0.500 0.272 0.000
V 0.331 0.331 0.661
V 0.669 0.669 0.339
Ta 0.000 0.000 0.000

(2)
! PrGa2NiPd2 | the Alexandria database | PBE | relaxed; values from VASP
! **Formation enthalpy at 0 K**: -0.51 eV per atom
! **Mass density**: 8.050 Mg/m³
! **Final energy**: -5.009 eV per atom
! **Space group**: No. 123
&SYSTEM
  ibrav = 0, nat = 6, ntyp = 4
/
ATOMIC_SPECIES
Pr 140.91 Pr.upf
Ga 69.72 Ga.upf
Pd 106.42 Pd.upf
Ni 58.69 Ni.upf
CELL_PARAMETERS angstrom
-2.629 -0.699 3.634
-0.567 -4.329 -1.243
4.451 -1.429 2.945
ATOMIC_POSITIONS crystal
Pr 0.000 0.000 0.500
Ga 0.000 0.500 0.000
Ga 0.500 0.000 0.000
Pd 0.500 0.500 0.257
Pd 0.500 0.500 0.743
Ni 0.000 0.000 0.000

(3)
! TlIn4Sn3 | the Alexandria database | PBE | relaxed; values from VASP
! **Formation enthalpy at 0 K**: 0.04 eV per atom
! **Mass density**: 7.597 Mg/m³
! **Final energy**: -3.123 eV per atom
! **Space group**: No. 47
&SYSTEM
  ibrav = 0, nat = 8, ntyp = 3
/
ATOMIC_SPECIES
Sn 118.71 Sn.upf
Tl 204.38 Tl.upf
In 114.82 In.upf
CELL_PARAMETERS angstrom
3.553 0.000 0.000
0.000 5.543 0.000
0.000 0.000 11.319
ATOMIC_POSITIONS crystal
Sn 0.500 0.000 0.242
Sn 0.500 0.500 0.500
Sn 0.500 0.000 0.758
Tl 0.500 0.500 0.000
In 0.000 0.000 0.500
In 0.000 0.500 0.261
In 0.000 0.000 0.000
In 0.000 0.500 0.739